## SmSn3H (GGA-PBE)

Data for a relaxed structure of SmSn3H.

Output
total DFT energy (no corrections)	-21.2	eV per cell
spin magnetization	0.000	μB per formula unit

a = 4.790 Å, b = 4.790 Å, c = 4.790 Å
α = 90.00°, β = 90.00°, γ = 90.00°
Fractional coordinates of all 5 atoms:
Sm1 0.000 0.000 0.000
Sn1 0.000 0.500 0.500
Sn2 0.500 0.000 0.500
Sn3 0.500 0.500 0.000
H1 0.500 0.500 0.500